[1]
# CaPmPb4, relaxed, DFT PBE
# ΔE_f   -0.210 eV/atom
# Polymorph energy (0 for the lowest one)   60 meV per atom
data_CaPmPb4
_space_group_name_H-M_alt 'F -4 3 m'
_space_group_IT_number 216
_space_group_name_Hall 'F -4 2 3'
_cell_length_a 9.1818
_cell_length_b 9.1818
_cell_length_c 9.1818
_cell_angle_alpha 90.00
_cell_angle_beta 90.00
_cell_angle_gamma 90.00
loop_
_atom_site_label
_atom_site_type_symbol
_atom_site_fract_x
_atom_site_fract_y
_atom_site_fract_z
_atom_site_occupancy
Ca1 Ca 0.0000 0.0000 0.0000 1
Pm1 Pm 0.2500 0.2500 0.2500 1
Pb1 Pb 0.1247 0.1247 0.6247 1

***

[2]
# FeCo4Ni, relaxed, DFT PBE
# ΔE_f   0.159 eV/atom
# Polymorph energy (0 for the lowest one)   108 meV per atom
data_FeCo4Ni
_space_group_name_H-M_alt 'F -4 3 m'
_space_group_IT_number 216
_space_group_name_Hall 'F -4 2 3'
_cell_length_a 6.5370
_cell_length_b 6.5370
_cell_length_c 6.5370
_cell_angle_alpha 90.00
_cell_angle_beta 90.00
_cell_angle_gamma 90.00
loop_
_atom_site_label
_atom_site_type_symbol
_atom_site_fract_x
_atom_site_fract_y
_atom_site_fract_z
_atom_site_occupancy
Fe1 Fe 0.0000 0.0000 0.0000 1
Co1 Co 0.1247 0.1247 0.6247 1
Ni1 Ni 0.2500 0.2500 0.2500 1

***

[3]
# NiBiAsBr2, relaxed, DFT PBE
# Raw formation energy   0.139 eV per atom
# Polymorph energy (0 for the lowest one)   0 meV per atom
data_NiBiAsBr2
_space_group_name_H-M_alt 'P 4/m m m'
_space_group_IT_number 123
_space_group_name_Hall '-P 4 2'
_cell_length_a 4.7954
_cell_length_b 4.7954
_cell_length_c 5.0405
_cell_angle_alpha 90.00
_cell_angle_beta 90.00
_cell_angle_gamma 90.00
loop_
_atom_site_label
_atom_site_type_symbol
_atom_site_fract_x
_atom_site_fract_y
_atom_site_fract_z
_atom_site_occupancy
Ni1 Ni 0.0000 0.0000 0.0000 1
Bi1 Bi 0.5000 0.5000 0.5000 1
As1 As 0.0000 0.0000 0.5000 1
Br1 Br 0.0000 0.5000 0.0000 1